No. 1
Computed, not measured: a relaxed HgAuS2 crystal at the PBE level of DFT.

formation energy from raw total energies: 0.11 eV/atom
symmetry: R-3m (166)
spin magnetization: 0.00 Bohr magnetons per cell
density of states at the Fermi level: 0.6937 states/eV per atom

Cell and atoms, written as extended XYZ:
```
4
Lattice="2.018 1.165 7.265 -2.018 1.165 7.265 0.000 -2.330 7.265" Properties=species:S:1:pos:R:3 pbc="T T T"
Hg 0.000 0.000 0.000
Au 0.000 0.000 10.897
S 0.000 0.000 8.638
S 0.000 0.000 13.156
```

***

No. 2
Computed, not measured: a relaxed HgAuS crystal at the PBE level of DFT.

formation energy from raw total energies: -0.03 eV/atom
distance to the lowest polymorph of the same formula: 8.1 kJ/mol of atoms
symmetry: Fddd (70)
spin magnetization: 0.00 Bohr magnetons per cell
density of states at the Fermi level: 0.0157 states/eV per atom

Cell and atoms, written as extended XYZ:
```
12
Lattice="0.000 5.194 6.629 4.866 0.000 6.629 4.866 5.194 0.000" Properties=species:S:1:pos:R:3 pbc="T T T"
Hg 3.650 0.086 4.972
Hg 6.083 2.684 8.286
Hg 3.650 7.705 4.972
Hg 6.083 10.302 8.286
Au 4.866 2.597 3.315
Au 2.433 5.194 3.315
Au 2.433 2.597 6.629
Au 4.866 5.194 6.629
S 3.650 3.896 1.819
S 6.083 6.493 5.133
S 3.650 3.896 8.125
S 6.083 6.493 11.440
```

***

No. 3
Computed, not measured: a relaxed HgAu2S2 crystal at the PBE level of DFT.

formation energy from raw total energies: 0.44 eV/atom
symmetry: I4/mmm (139)
spin magnetization: 0.00 Bohr magnetons per cell
density of states at the Fermi level: 0.4859 states/eV per atom

Cell and atoms, written as extended XYZ:
```
5
Lattice="-1.865 1.865 7.212 1.865 -1.865 7.212 1.865 1.865 -7.212" Properties=species:S:1:pos:R:3 pbc="T T T"
Hg 0.000 0.000 0.000
Au 0.000 0.000 5.856
Au 0.000 0.000 8.569
S 1.865 0.000 3.606
S 0.000 1.865 3.606
```

***

No. 4
Computed, not measured: a relaxed Hg2AuS2 crystal at the PBE level of DFT.

formation energy from raw total energies: 0.17 eV/atom
symmetry: P4/mbm (127)
spin magnetization: 0.00 Bohr magnetons per cell
density of states at the Fermi level: 0.5523 states/eV per atom

Cell and atoms, written as extended XYZ:
```
10
Lattice="7.398 0.000 0.000 0.000 7.398 0.000 0.000 0.000 4.244" Properties=species:S:1:pos:R:3 pbc="T T T"
Hg 0.952 2.747 0.000
Hg 2.747 6.446 0.000
Hg 4.651 0.952 0.000
Hg 6.446 4.651 0.000
Au 0.000 0.000 2.122
Au 3.699 3.699 2.122
S 1.682 5.381 2.122
S 2.017 1.682 2.122
S 5.381 5.716 2.122
S 5.716 2.017 2.122
```

***

No. 5
Computed, not measured: a relaxed HgAuS6 crystal at the PBE level of DFT.

formation energy from raw total energies: 0.31 eV/atom
symmetry: P-1 (2)
spin magnetization: 0.00 Bohr magnetons per cell
density of states at the Fermi level: 0.3041 states/eV per atom

Cell and atoms, written as extended XYZ:
```
8
Lattice="4.927 0.000 0.000 -1.641 7.714 0.000 -1.611 -3.844 6.731" Properties=species:S:1:pos:R:3 pbc="T T T"
Hg 0.000 0.000 0.000
Au 2.464 0.000 0.000
S -1.656 3.848 3.026
S -0.014 4.558 1.854
S 0.046 0.682 4.905
S 1.630 3.188 1.826
S 1.690 -0.688 4.877
S 3.332 0.022 3.706
```

***

No. 6
Computed, not measured: a relaxed HgAuS3 crystal at the PBE level of DFT.

formation energy from raw total energies: 0.74 eV/atom
distance to the lowest polymorph of the same formula: 0.0 kJ/mol of atoms
symmetry: Pm-3m (221)
spin magnetization: 0.00 Bohr magnetons per cell
density of states at the Fermi level: 1.2987 states/eV per atom

Cell and atoms, written as extended XYZ:
```
5
Lattice="4.869 0.000 0.000 0.000 4.869 0.000 0.000 0.000 4.869" Properties=species:S:1:pos:R:3 pbc="T T T"
Hg 0.000 0.000 0.000
Au 2.434 2.434 2.434
S 0.000 2.434 2.434
S 2.434 0.000 2.434
S 2.434 2.434 0.000
```